Record 1
The following is a GGA-PBE calculation of an optimized crystal structure of ZnSiSb3, from OQMD via LeMat-Bulk. Values from VASP.

```
&SYSTEM
  ibrav = 0, nat = 10, ntyp = 3
/
ATOMIC_SPECIES
Zn 65.41 Zn.upf
Si 28.09 Si.upf
Sb 121.76 Sb.upf
CELL_PARAMETERS angstrom
9.197 0.000 0.000
-4.598 7.965 0.000
0.000 0.000 4.580
ATOMIC_POSITIONS crystal
Zn 0.333 0.667 0.250
Zn 0.667 0.333 0.750
Si 0.000 0.000 0.000
Si 0.000 0.000 0.500
Sb 0.161 0.323 0.250
Sb 0.161 0.839 0.250
Sb 0.323 0.161 0.750
Sb 0.677 0.839 0.250
Sb 0.839 0.161 0.750
Sb 0.839 0.677 0.750
```

Calculated values
Theoretical density = 4.54 Mg/m³
Total DFT energy (no corrections) = -3.3029 eV per atom
Symmetry = P6_3/mmc, No. 194


Record 2
The following is a GGA-PBE calculation of an optimized crystal structure of InPt2Au, from OQMD via LeMat-Bulk. Values from VASP.

```
&SYSTEM
  ibrav = 0, nat = 4, ntyp = 3
/
ATOMIC_SPECIES
In 114.82 In.upf
Pt 195.08 Pt.upf
Au 196.97 Au.upf
CELL_PARAMETERS angstrom
0.000 3.262 3.262
3.262 0.000 3.262
3.262 3.262 0.000
ATOMIC_POSITIONS crystal
In 0.000 0.000 0.000
Pt 0.500 0.500 0.500
Pt 0.750 0.750 0.750
Au 0.250 0.250 0.250
```

Calculated values
Theoretical density = 16.79 Mg/m³
Total DFT energy (no corrections) = -4.7062 eV per atom
Symmetry = F-43m, No. 216


Copy entry 2 word for word.
The following is a GGA-PBE calculation of an optimized crystal structure of InPt2Au, from OQMD via LeMat-Bulk. Values from VASP.

```
&SYSTEM
  ibrav = 0, nat = 4, ntyp = 3
/
ATOMIC_SPECIES
In 114.82 In.upf
Pt 195.08 Pt.upf
Au 196.97 Au.upf
CELL_PARAMETERS angstrom
0.000 3.262 3.262
3.262 0.000 3.262
3.262 3.262 0.000
ATOMIC_POSITIONS crystal
In 0.000 0.000 0.000
Pt 0.500 0.500 0.500
Pt 0.750 0.750 0.750
Au 0.250 0.250 0.250
```

Calculated values
Theoretical density = 16.79 Mg/m³
Total DFT energy (no corrections) = -4.7062 eV per atom
Symmetry = F-43m, No. 216


> The lowest total DFT energy (no corrections) belongs to which entry?

InPt2Au


> Number 1 is which compound?

ZnSiSb3